# PBEsol Co2IrAu, relaxed
data_Co2IrAu
_chemical_formula_sum 'Co8 Ir4 Au4'
_space_group_name_H-M_alt 'F m -3 m'
_space_group_IT_number 225
_space_group_name_Hall '-F 4 2 3'
_cell_length_a 5.952
_cell_length_b 5.952
_cell_length_c 5.952
_cell_angle_alpha 90.00
_cell_angle_beta 90.00
_cell_angle_gamma 90.00
loop_
_atom_site_label
_atom_site_type_symbol
_atom_site_fract_x
_atom_site_fract_y
_atom_site_fract_z
Co1 Co 0.250 0.250 0.250
Ir1 Ir 0.000 0.000 0.000
Au1 Au 0.000 0.000 0.500
# Energy relative to the lowest polymorph listed for this composition   0.165 eV per atom
# Spin magnetization   18.494 μB per cell
# E_form   1.37 eV per formula unit

***

# PBEsol CoIrAu, relaxed
data_CoIrAu
_chemical_formula_sum 'Co4 Ir4 Au4'
_space_group_name_H-M_alt 'F -4 3 m'
_space_group_IT_number 216
_space_group_name_Hall 'F -4 2 3'
_cell_length_a 5.733
_cell_length_b 5.733
_cell_length_c 5.733
_cell_angle_alpha 90.00
_cell_angle_beta 90.00
_cell_angle_gamma 90.00
loop_
_atom_site_label
_atom_site_type_symbol
_atom_site_fract_x
_atom_site_fract_y
_atom_site_fract_z
Co1 Co 0.000 0.000 0.000
Ir1 Ir 0.250 0.250 0.750
Au1 Au 0.250 0.250 0.250
# Spin magnetization   11.768 μB per cell
# E_form   1.83 eV per formula unit

***

# PBEsol Co2IrAu, relaxed
data_Co2IrAu
_chemical_formula_sum 'Co4 Ir2 Au2'
_space_group_name_H-M_alt 'C 1 m 1'
_space_group_IT_number 8
_space_group_name_Hall 'C -2y'
_cell_length_a 8.847
_cell_length_b 2.678
_cell_length_c 4.514
_cell_angle_alpha 90.00
_cell_angle_beta 102.57
_cell_angle_gamma 90.00
loop_
_atom_site_label
_atom_site_type_symbol
_atom_site_fract_x
_atom_site_fract_y
_atom_site_fract_z
Co1 Co 0.000 0.000 0.000
Co2 Co 0.232 0.500 0.256
Ir1 Ir 0.253 0.000 0.793
Au1 Au 0.489 0.000 0.490
# Energy relative to the lowest polymorph listed for this composition   0.038 eV per atom
# Spin magnetization   7.624 μB per cell
# E_form   0.87 eV per formula unit